# PmNd4SmTm2 | Alexandria | GGA-PBE | relaxed
data_PmNd4SmTm2
_chemical_formula_sum 'Pm1 Nd4 Sm1 Tm2'
_space_group_name_H-M_alt 'P m m m'
_space_group_IT_number 47
_space_group_name_Hall '-P 2 2'
_cell_length_a 5.131
_cell_length_b 5.156
_cell_length_c 10.151
_cell_angle_alpha 90.00
_cell_angle_beta 90.00
_cell_angle_gamma 90.00
loop_
_atom_site_label
_atom_site_type_symbol
_atom_site_fract_x
_atom_site_fract_y
_atom_site_fract_z
Pm1 Pm 0.000 0.000 0.000
Nd1 Nd 0.000 0.500 0.250
Nd2 Nd 0.500 0.000 0.251
Sm1 Sm 0.500 0.500 0.500
Tm1 Tm 0.000 0.000 0.500
Tm2 Tm 0.500 0.500 0.000
# Crystal system: orthorhombic
# E_tot (eV per cell): -37.359
# Size of the total moment (μB/atom): 0.000

# RbTcCl2 | Alexandria | GGA-PBE | relaxed
data_RbTcCl2
_chemical_formula_sum 'Rb3 Tc3 Cl6'
_space_group_name_H-M_alt 'R -3 m'
_space_group_IT_number 166
_space_group_name_Hall '-R 3 2"'
_cell_length_a 4.5921
_cell_length_b 4.5921
_cell_length_c 25.2502
_cell_angle_alpha 90.00
_cell_angle_beta 90.00
_cell_angle_gamma 120.00
loop_
_atom_site_label
_atom_site_type_symbol
_atom_site_fract_x
_atom_site_fract_y
_atom_site_fract_z
Rb1 Rb 0.0000 0.0000 0.0000
Tc1 Tc 0.0000 0.0000 0.5000
Cl1 Cl 0.0000 0.0000 0.4064
# Formation energy from raw total energies (meV per atom): -347
# Crystal system: trigonal
# Size of the total moment (μB/atom): 1.000

# TcIrOs2 | Alexandria | GGA-PBE | relaxed
data_TcIrOs2
_chemical_formula_sum 'Tc1 Ir1 Os2'
_space_group_name_H-M_alt 'P 1 2/m 1'
_space_group_IT_number 10
_space_group_name_Hall '-P 2y'
_cell_length_a 2.719
_cell_length_b 4.590
_cell_length_c 4.803
_cell_angle_alpha 90.00
_cell_angle_beta 91.18
_cell_angle_gamma 90.00
loop_
_atom_site_label
_atom_site_type_symbol
_atom_site_fract_x
_atom_site_fract_y
_atom_site_fract_z
Tc1 Tc 0.000 0.000 0.000
Ir1 Ir 0.500 0.000 0.500
Os1 Os 0.342 0.500 0.754
# Crystal system: monoclinic
# E_tot (eV per cell): -39.857
# Size of the total moment (μB/atom): 0.000